Record 1
A geometry-optimized AcDy2Tl2Zn2 structure. Source: Alexandria, functional PBE.

* uncorrected energy: -3.1397 eV/atom
* ΔE_f: -0.198 eV per atom

Cell: 4.874 4.874 9.737 Å, 75.50 75.50 60.00°
Fractional coordinates of all 7 atoms:
Ac  0.000  0.000  0.000
Dy  0.134  0.134  0.597
Dy  0.866  0.866  0.403
Tl  0.741  0.741  0.778
Tl  0.259  0.259  0.222
Zn  0.562  0.562  0.315
Zn  0.438  0.438  0.685

Record 2
A geometry-optimized AcDyTm2 structure. Source: Alexandria, functional PBE.

* uncorrected energy: -4.3125 eV/atom
* distance to the lowest polymorph of the same formula: 29 meV/atom
* ΔE_f: 0.101 eV per atom

Cell: 4.123 4.123 8.036 Å, 90.00 90.00 90.00°
Fractional coordinates of all 4 atoms:
Ac  0.500  0.500  0.500
Tm  0.000  0.000  0.774
Tm  0.000  0.000  0.226
Dy  0.500  0.500  0.000

Record 3
A geometry-optimized Ac8Dy4Tm structure. Source: Alexandria, functional PBE.

* uncorrected energy: -3.8936 eV/atom
* ΔE_f: 0.395 eV per atom

Cell: 11.739 11.739 8.297 Å, 90.00 135.03 120.00°
Fractional coordinates of all 13 atoms:
Ac  0.514  0.757  0.271
Ac  0.486  0.243  0.729
Ac  0.486  0.243  0.242
Ac  0.001  0.243  0.758
Ac  0.514  0.757  0.758
Ac  0.001  0.757  0.758
Ac  0.999  0.243  0.242
Ac  0.999  0.757  0.242
Dy  0.000  0.000  0.000
Dy  0.000  0.500  0.000
Dy  0.500  0.500  0.000
Dy  0.500  0.000  0.000
Tm  0.000  0.500  0.500

Record 4
A geometry-optimized AcDy3Tm7 structure. Source: Alexandria, functional PBE.

* uncorrected energy: -4.2509 eV/atom
* distance to the lowest polymorph of the same formula: 60 meV/atom
* ΔE_f: 0.223 eV per atom

Cell: 8.618 7.029 7.029 Å, 120.00 90.00 90.00°
Fractional coordinates of all 11 atoms:
Ac  0.448  0.333  0.667
Dy  0.789  0.502  0.498
Dy  0.789  0.502  0.004
Dy  0.789  0.996  0.498
Tm  0.115  0.166  0.834
Tm  0.115  0.166  0.333
Tm  0.118  0.667  0.333
Tm  0.446  0.832  0.168
Tm  0.446  0.336  0.168
Tm  0.446  0.832  0.664
Tm  0.115  0.667  0.834

Which of these has the highest ΔE_f? Ac8Dy4Tm